DFT (GGA-PBE) results for crystalline HPdW at its relaxed geometry. Values from VASP.

Geometry as Quantum ESPRESSO input:
```
&SYSTEM
  ibrav = 0, nat = 6, ntyp = 3
/
ATOMIC_SPECIES
H 1.01 H.upf
Pd 106.42 Pd.upf
W 183.84 W.upf
ATOMIC_POSITIONS crystal
H 0.040 0.044 0.243
H 0.960 0.956 0.757
Pd 0.345 0.340 0.374
Pd 0.655 0.660 0.626
W 0.277 0.274 0.882
W 0.723 0.726 0.118
CELL_PARAMETERS angstrom
2.842 0.000 0.000
1.165 2.598 0.000
0.704 0.439 9.190
```

**N(E_F)**: 0.484 states/eV/atom
**Crystal system**: triclinic
**Raw total energy**: -7.1217 eV/atom

DFT (GGA-PBE) results for crystalline TiAg2Te4 at its relaxed geometry. Values from VASP.

Geometry as Quantum ESPRESSO input:
```
&SYSTEM
  ibrav = 0, nat = 14, ntyp = 3
/
ATOMIC_SPECIES
Ti 47.87 Ti.upf
Ag 107.87 Ag.upf
Te 127.60 Te.upf
ATOMIC_POSITIONS crystal
Ti 0.108 0.892 0.750
Ti 0.892 0.108 0.250
Ag 0.363 0.637 0.573
Ag 0.363 0.637 0.927
Ag 0.637 0.363 0.073
Ag 0.637 0.363 0.427
Te 0.000 0.000 0.000
Te 0.000 0.000 0.500
Te 0.295 0.705 0.128
Te 0.295 0.705 0.372
Te 0.466 0.534 0.750
Te 0.534 0.466 0.250
Te 0.705 0.295 0.628
Te 0.705 0.295 0.872
CELL_PARAMETERS angstrom
1.925 -7.197 0.000
1.925 7.197 0.000
0.000 0.000 13.224
```

**N(E_F)**: 0.747 states/eV/atom
**Crystal system**: orthorhombic
**Raw total energy**: -3.9296 eV/atom

DFT (GGA-PBE) results for crystalline ZrRhPb2Au at its relaxed geometry. Values from VASP.

Geometry as Quantum ESPRESSO input:
```
&SYSTEM
  ibrav = 0, nat = 5, ntyp = 4
/
ATOMIC_SPECIES
Zr 91.22 Zr.upf
Rh 102.91 Rh.upf
Pb 207.20 Pb.upf
Au 196.97 Au.upf
ATOMIC_POSITIONS crystal
Zr 0.000 0.000 0.000
Rh 0.500 0.500 0.000
Pb 0.000 0.500 0.500
Pb 0.500 0.000 0.500
Au 0.000 0.000 0.500
CELL_PARAMETERS angstrom
5.290 0.000 0.000
0.000 5.290 0.000
0.000 0.000 5.274
```

**N(E_F)**: 1.044 states/eV/atom
**Crystal system**: tetragonal
**Raw total energy**: -4.2969 eV/atom

DFT (GGA-PBE) results for crystalline Dy2MgOs at its relaxed geometry. Values from VASP.

Geometry as Quantum ESPRESSO input:
```
&SYSTEM
  ibrav = 0, nat = 4, ntyp = 3
/
ATOMIC_SPECIES
Dy 162.50 Dy.upf
Mg 24.30 Mg.upf
Os 190.23 Os.upf
ATOMIC_POSITIONS crystal
Dy 0.104 0.104 0.104
Dy 0.896 0.896 0.896
Mg 0.000 0.000 0.000
Os 0.500 0.500 0.500
CELL_PARAMETERS angstrom
1.693 0.977 10.739
-1.693 0.977 10.739
0.000 -1.954 10.739
```

**N(E_F)**: 1.189 states/eV/atom
**Crystal system**: trigonal
**Raw total energy**: -5.2288 eV/atom